Computed, not measured: crystalline KMn2FeF8 at its relaxed geometry at the PBE with a Hubbard U level of DFT.

Lattice parameters (Å, degrees): 5.0480 5.0160 6.9635 90.00 90.00 87.73
With the nearest neighbours (Å) after each atom.
Fractional coordinates of all 12 atoms:
K1 0.0000 0.0000 0.5000  6 F 2.42-2.54
Mn1 0.5000 0.5000 0.7511  6 F 2.13-2.35
Mn2 0.5000 0.5000 0.2489  6 F 2.13-2.35
Fe1 0.0000 0.0000 0.0000  6 F 1.95-2.05
F1 0.1937 0.7937 0.1949  1 Fe 1.95, 1 Mn 2.13
F2 0.7124 0.7233 0.0000  1 Fe 2.05
F3 0.8063 0.2064 0.1948  1 Fe 1.95, 1 Mn 2.13
F4 0.8063 0.2063 0.8051  1 Fe 1.95, 1 Mn 2.13
F5 0.2876 0.2767 0.0000  1 Fe 2.05
F6 0.1937 0.7936 0.8052  1 Fe 1.95, 1 Mn 2.13
F7 0.6506 0.6834 0.4999  2 Mn 2.13
F8 0.3494 0.3166 0.5001  2 Mn 2.13

Output
Energy ... -5.658 eV/atom
Magnetic moment ... 1.250 μB per atom